Compound: Zn2Cd2InAg5
Source: Alexandria
Functional: PBE-GGA
Structure: relaxed

## Properties
As for the total energy: -42.47 eV/cell. Its space group is No. 127.

Cell: 4.250 9.482 9.482 Å, 90.00 90.00 90.00°
Sites, in units of the cell vectors:
1 Ag 0.500 0.799 0.919
2 In 0.000 0.500 0.500
3 Cd 0.000 0.825 0.675
4 Ag 0.500 0.201 0.081
5 Ag 0.500 0.581 0.701
6 Ag 0.500 0.299 0.581
7 Cd 0.000 0.325 0.825
8 Cd 0.000 0.675 0.175
9 Ag 0.500 0.701 0.419
10 Zn 0.000 0.380 0.120
11 Cd 0.000 0.175 0.325
12 Ag 0.500 0.081 0.799
13 Zn 0.000 0.620 0.880
14 Ag 0.500 0.419 0.299
15 Ag 0.500 0.500 0.000
16 Zn 0.000 0.880 0.380
17 Ag 0.500 0.000 0.500
18 Zn 0.000 0.120 0.620
19 Ag 0.500 0.919 0.201
20 In 0.000 0.000 0.000

---

Compound: Zn2CdIn2Ag7
Source: Alexandria
Functional: PBE-GGA
Structure: relaxed

## Properties
As for the total energy: -28.89 eV/cell. Its space group is No. 44.

Cell: 4.770 5.191 9.776 Å, 105.40 104.12 90.00°
Sites, in units of the cell vectors:
1 In 0.666 0.720 0.331
2 Ag 0.167 0.096 0.333
3 Ag 0.500 0.574 0.000
4 Ag 0.083 0.497 0.166
5 Cd 0.000 0.915 0.000
6 Ag 0.833 0.762 0.667
7 Ag 0.917 0.331 0.834
8 Ag 0.418 0.991 0.836
9 Zn 0.260 0.794 0.521
10 Zn 0.740 0.273 0.479
11 In 0.334 0.389 0.669
12 Ag 0.582 0.156 0.164

---

Compound: ZnCdInAg3
Source: Alexandria
Functional: PBE-GGA
Structure: relaxed

## Properties
As for the total energy: -26.55 eV/cell. Its space group is No. 12.

Cell: 4.634 7.752 7.260 Å, 80.92 90.00 107.39°
Sites, in units of the cell vectors:
1 Ag 0.552 0.104 0.316
2 Zn 0.641 0.282 0.611
3 Ag 0.769 0.539 0.294
4 Cd 0.678 0.356 0.973
5 Cd 0.322 0.644 0.027
6 In 0.034 0.068 0.793
7 Ag 0.231 0.461 0.706
8 Zn 0.359 0.718 0.389
9 Ag 0.844 0.687 0.644
10 In 0.966 0.932 0.207
11 Ag 0.156 0.313 0.356
12 Ag 0.448 0.896 0.684

---

Compound: CdAg2Ir
Source: Alexandria
Functional: PBE-GGA
Structure: relaxed

## Properties
As for the total energy: -27.01 eV/cell. Its space group is No. 122.

Cell: 3.918 3.918 10.298 Å, 79.03 79.03 90.00°
Sites, in units of the cell vectors:
1 Cd 0.250 0.750 0.500
2 Ir 0.750 0.250 0.500
3 Cd 0.500 0.500 0.000
4 Ag 0.118 0.625 0.250
5 Ir 0.000 0.000 0.000
6 Ag 0.632 0.125 0.250
7 Ag 0.375 0.368 0.750
8 Ag 0.875 0.882 0.750

---

Compound: Cd2AgIr2
Source: Alexandria
Functional: PBE-GGA
Structure: relaxed

## Properties
As for the total energy: -41.62 eV/cell. Its space group is No. 127.

Cell: 6.761 6.761 4.145 Å, 90.00 90.00 90.00°
Sites, in units of the cell vectors:
1 Ir 0.128 0.372 0.000
2 Ag 0.500 0.500 0.000
3 Ir 0.372 0.872 0.000
4 Cd 0.173 0.673 0.500
5 Cd 0.673 0.827 0.500
6 Ir 0.872 0.628 0.000
7 Cd 0.327 0.173 0.500
8 Cd 0.827 0.327 0.500
9 Ir 0.628 0.128 0.000
10 Ag 0.000 0.000 0.000

---

Compound: CdAg2Ir
Source: Alexandria
Functional: PBE-GGA
Structure: relaxed

## Properties
As for the total energy: -14.59 eV/cell. Its space group is No. 35.

Cell: 2.837 2.837 9.722 Å, 90.00 90.00 116.96°
Sites, in units of the cell vectors:
1 Ag 0.500 0.500 0.247
2 Ag 0.000 0.000 0.996
3 Ir 0.500 0.500 0.751
4 Cd 0.000 0.000 0.506

---

Compound: CdAg2Ir
Source: Alexandria
Functional: PBE-GGA
Structure: relaxed

## Properties
As for the total energy: -14.51 eV/cell. Its space group is No. 71.

Cell: 5.680 5.680 5.680 Å, 149.59 130.07 59.59°
Sites, in units of the cell vectors:
1 Ag 0.492 0.492 0.000
2 Ag 0.008 0.008 0.000
3 Ir 0.250 0.750 0.500
4 Cd 0.750 0.250 0.500

---

Compound: Cd5Ag2Ir
Source: Alexandria
Functional: PBE-GGA
Structure: relaxed

## Properties
As for the total energy: -19.00 eV/cell. Its space group is No. 139.

Cell: 4.311 4.311 8.721 Å, 104.35 104.31 90.00°
Sites, in units of the cell vectors:
1 Cd 0.877 0.377 0.754
2 Ir 0.500 0.500 0.000
3 Cd 0.623 0.123 0.246
4 Cd 0.000 0.000 0.000
5 Cd 0.123 0.623 0.246
6 Ag 0.252 0.252 0.504
7 Cd 0.377 0.877 0.754
8 Ag 0.748 0.748 0.496

---

Compound: CdAg2Ir
Source: Alexandria
Functional: PBE-GGA
Structure: relaxed

## Properties
As for the total energy: -14.38 eV/cell. Its space group is No. 139.

Cell: 5.045 5.045 5.045 Å, 131.92 131.92 70.35°
Sites, in units of the cell vectors:
1 Ir 0.750 0.250 0.500
2 Ag 0.500 0.500 0.000
3 Cd 0.250 0.750 0.500
4 Ag 0.000 0.000 0.000

---

Compound: CdAg2Ir
Source: Alexandria
Functional: PBE-GGA
Structure: relaxed

## Properties
As for the total energy: -14.61 eV/cell. Its space group is No. 123.

Cell: 4.046 4.046 4.226 Å, 90.00 90.00 90.00°
Sites, in units of the cell vectors:
1 Cd 0.500 0.000 0.500
2 Ir 0.000 0.500 0.500
3 Ag 0.500 0.500 0.000
4 Ag 0.000 0.000 0.000

---

Compound: CdAg2Ir
Source: Alexandria
Functional: PBE-GGA
Structure: relaxed

## Properties
As for the total energy: -14.42 eV/cell. Its space group is No. 47.

Cell: 2.815 4.303 5.736 Å, 90.00 90.00 90.00°
Sites, in units of the cell vectors:
1 Ag 0.000 0.000 0.508
2 Ir 0.500 0.500 0.750
3 Cd 0.500 0.500 0.250
4 Ag 0.000 0.000 0.992

---

Compound: CdAg2Ir
Source: Alexandria
Functional: PBE-GGA
Structure: relaxed

## Properties
As for the total energy: -14.48 eV/cell. Its space group is No. 119.

Cell: 4.905 4.905 4.905 Å, 128.92 128.92 75.14°
Sites, in units of the cell vectors:
1 Cd 0.500 0.500 0.000
2 Ir 0.750 0.250 0.500
3 Ag 0.250 0.750 0.500
4 Ag 0.000 0.000 0.000

---

Compound: CdAg4Ir
Source: Alexandria
Functional: PBE-GGA
Structure: relaxed

## Properties
As for the total energy: -18.64 eV/cell. Its space group is No. 216.

Cell: 5.379 5.379 5.379 Å, 60.00 60.00 60.00°
Sites, in units of the cell vectors:
1 Cd 0.750 0.750 0.750
2 Ag 0.876 0.375 0.375
3 Ag 0.375 0.375 0.876
4 Ir 0.000 0.000 0.000
5 Ag 0.375 0.375 0.375
6 Ag 0.375 0.876 0.375

---

Compound: CdAg2Ir
Source: Alexandria
Functional: PBE-GGA
Structure: relaxed

## Properties
As for the total energy: -14.61 eV/cell. Its space group is No. 12.

Cell: 5.122 5.122 4.915 Å, 79.10 79.10 33.47°
Sites, in units of the cell vectors:
1 Cd 0.750 0.750 0.750
2 Ag 0.994 0.994 0.008
3 Ag 0.506 0.506 0.492
4 Ir 0.250 0.250 0.250

---

Compound: CdAg2Ir
Source: Alexandria
Functional: PBE-GGA
Structure: relaxed

## Properties
As for the total energy: -14.33 eV/cell. Its space group is No. 123.

Cell: 2.853 2.853 8.545 Å, 90.00 90.00 90.00°
Sites, in units of the cell vectors:
1 Ag 0.000 0.000 0.512
2 Ag 0.000 0.000 0.988
3 Cd 0.500 0.500 0.250
4 Ir 0.500 0.500 0.750

---

Compound: CdAg2Ir
Source: Alexandria
Functional: PBE-GGA
Structure: relaxed

## Properties
As for the total energy: -14.59 eV/cell. Its space group is No. 25.

Cell: 2.862 4.146 5.863 Å, 90.00 90.00 90.00°
Sites, in units of the cell vectors:
1 Cd 0.000 0.000 0.512
2 Ag 0.500 0.500 0.243
3 Ag 0.000 0.000 0.998
4 Ir 0.500 0.500 0.747

---

Compound: CdAg2Ir
Source: Alexandria
Functional: PBE-GGA
Structure: relaxed

## Properties
As for the total energy: -14.41 eV/cell. Its space group is No. 65.

Cell: 2.818 2.818 9.845 Å, 90.00 90.00 116.71°
Sites, in units of the cell vectors:
1 Ag 0.000 0.000 0.508
2 Ag 0.000 0.000 0.992
3 Cd 0.500 0.500 0.250
4 Ir 0.500 0.500 0.750

---

Compound: CdAg2Ir
Source: Alexandria
Functional: PBE-GGA
Structure: relaxed

## Properties
As for the total energy: -14.67 eV/cell. Its space group is No. 166.

Cell: 9.886 9.886 9.886 Å, 16.66 16.66 16.66°
Sites, in units of the cell vectors:
1 Ir 0.750 0.750 0.750
2 Ag 0.497 0.497 0.497
3 Cd 0.250 0.250 0.250
4 Ag 0.003 0.003 0.003

---

Compound: CdAg2Ir
Source: Alexandria
Functional: PBE-GGA
Structure: relaxed

## Properties
As for the total energy: -14.59 eV/cell. Its space group is No. 47.

Cell: 3.173 4.633 4.719 Å, 90.00 90.00 90.00°
Sites, in units of the cell vectors:
1 Ag 0.500 0.500 0.000
2 Ag 0.000 0.000 0.000
3 Ir 0.000 0.500 0.500
4 Cd 0.500 0.000 0.500

---

Compound: CdAg2Ir
Source: Alexandria
Functional: PBE-GGA
Structure: relaxed

## Properties
As for the total energy: -14.64 eV/cell. Its space group is No. 99.

Cell: 2.894 2.894 8.328 Å, 90.00 90.00 90.00°
Sites, in units of the cell vectors:
1 Ag 0.500 0.500 0.245
2 Ir 0.500 0.500 0.752
3 Ag 0.000 0.000 0.991
4 Cd 0.000 0.000 0.512

---

Listing energy relative to the elements for the structures above in their given order: 0.014 0.000 0.035 0.494 0.319 0.223 0.242 0.017 0.273 0.216 0.266 0.250 0.424 0.217 0.287 0.223 0.267 0.201 0.223 0.211 eV/atom.